[1]
Ba2ZnOsO6 after structural relaxation. Source: Alexandria, functional PBE.

Values from the calculation:
* calculated volume: 13.8 Å³ per atom
* density: 7.5 g/cm3
* space group: Fm-3m (225)
* E: -64.84 eV per cell
* formation energy from raw total energies: -1.87 eV per atom

a b c (Å): 5.7999 5.7999 5.7999
angles (deg): 60.00 60.00 60.00
Last column: nearest neighbours and their distance in Å.
Atoms (fractional coordinates):
1 Ba 0.2500 0.2500 0.2500  12 O 2.90
2 Ba 0.7500 0.7500 0.7500  12 O 2.90
3 Zn 0.0000 0.0000 0.0000  6 O 2.14
4 Os 0.5000 0.5000 0.5000  6 O 1.96
5 O 0.2615 0.2615 0.7385  1 Os 1.96, 1 Zn 2.14
6 O 0.2615 0.7385 0.2615  1 Os 1.96, 1 Zn 2.14
7 O 0.2615 0.7385 0.7385  1 Os 1.96, 1 Zn 2.14
8 O 0.7385 0.2615 0.2615  1 Os 1.96, 1 Zn 2.14
9 O 0.7385 0.2615 0.7385  1 Os 1.96, 1 Zn 2.14
10 O 0.7385 0.7385 0.2615  1 Os 1.96, 1 Zn 2.14

---

[2]
BaZrOsO6 after structural relaxation. Source: Alexandria, functional PBE.

Values from the calculation:
* calculated volume: 15.6 Å³ per atom
* density: 6.1 g/cm3
* space group: Imma (74)
* E: -141.06 eV per cell
* formation energy from raw total energies: -2.12 eV per atom

a b c (Å): 7.3437 7.3437 7.3437
angles (deg): 120.59 118.81 90.53
Last column: nearest neighbours and their distance in Å.
Atoms (fractional coordinates):
1 Ba 0.3336 0.0836 0.2500  10 O 3.06-3.41
2 Ba 0.6664 0.9164 0.7500  10 O 3.06-3.41
3 Zr 0.0000 0.5000 0.5000  6 O 2.07-2.17
4 Zr 0.5000 0.5000 0.0000  6 O 2.07-2.17
5 Os 0.0000 0.0000 0.5000  6 O 1.83-1.94
6 Os 0.0000 0.5000 0.0000  6 O 1.83-1.94
7 O 0.0153 0.7653 0.2500  2 Os 1.83
8 O 0.0494 0.3786 0.1944  1 Os 1.94, 1 Zr 2.17
9 O 0.0494 0.8550 0.6708  1 Os 1.94, 1 Zr 2.17
10 O 0.3158 0.1450 0.6944  1 Os 1.94, 1 Zr 2.17
11 O 0.3158 0.6214 0.1708  1 Os 1.94, 1 Zr 2.17
12 O 0.3369 0.5869 0.7500  2 Zr 2.07
13 O 0.6631 0.4131 0.2500  2 Zr 2.07
14 O 0.6842 0.3786 0.8292  1 Os 1.94, 1 Zr 2.17
15 O 0.6842 0.8550 0.3056  1 Os 1.94, 1 Zr 2.17
16 O 0.9506 0.1450 0.3292  1 Os 1.94, 1 Zr 2.17
17 O 0.9506 0.6214 0.8056  1 Os 1.94, 1 Zr 2.17
18 O 0.9847 0.2347 0.7500  2 Os 1.83